# WAuN2F PBE with a Hubbard U relaxed
data_WAuN2F
_space_group_name_H-M_alt 'P 4/m m m'
_space_group_IT_number 123
_space_group_name_Hall '-P 4 2'
_cell_length_a 4.141
_cell_length_b 4.141
_cell_length_c 4.079
_cell_angle_alpha 90.00
_cell_angle_beta 90.00
_cell_angle_gamma 90.00
loop_
_atom_site_label
_atom_site_fract_x
_atom_site_fract_y
_atom_site_fract_z
W1 0.000 0.000 0.000
Au1 0.500 0.500 0.500
N1 0.000 0.500 0.500
F1 0.500 0.500 0.000
# Energy above the lowest structure with this stoichiometry ... 605 kJ/mol of formula units
# Magnetic moment ... 2.53 Bohr magnetons per cell
# VASP energy ... -4.326 eV/atom